1.
{
  "formula": "CrBrOF2",
  "functional": "PBEsol",
  "state": "optimized geometry",
  "lattice_angstrom": [[-0.824, 0.156, -3.972], [0.663, -3.994, -0.295], [-3.556, -0.643, 0.712]],
  "species": ["Cr", "Br", "O", "F", "F"],
  "fractional_positions": [[0.000, 0.000, 0.000], [0.500, 0.500, 0.500], [0.000, 0.000, 0.500], [0.000, 0.500, 0.000], [0.500, 0.000, 0.000]],
  "energy_ev_per_atom": -5.47,
  "sg": "P4/mmm, No. 123",
  "magmom_total_mub_per_fu": 1.0,
  "raw_formation_energy_mev_per_atom": -1225
}

2.
{
  "formula": "Cr2SiBrF",
  "functional": "PBEsol",
  "state": "optimized geometry",
  "lattice_angstrom": [[-0.028, -3.207, -2.209], [4.819, -0.314, 0.394], [-0.502, -2.730, 3.971]],
  "species": ["Br", "Cr", "Cr", "Si", "F"],
  "fractional_positions": [[0.500, 0.500, 0.500], [0.000, 0.000, 0.500], [0.000, 0.500, 0.000], [0.000, 0.000, 0.000], [0.500, 0.000, 0.000]],
  "energy_ev_per_atom": -5.97,
  "sg": "P4/mmm, No. 123",
  "magmom_total_mub_per_fu": 8.1,
  "raw_formation_energy_mev_per_atom": 34
}

3.
{
  "formula": "Zr2CrBrF",
  "functional": "PBEsol",
  "state": "optimized geometry",
  "lattice_angstrom": [[4.317, 0.000, 0.000], [0.000, 4.317, 0.000], [0.000, 0.000, 5.065]],
  "species": ["Cr", "F", "Zr", "Zr", "Br"],
  "fractional_positions": [[0.500, 0.500, 0.500], [0.000, 0.000, 0.000], [0.500, 0.000, 0.000], [0.000, 0.500, 0.000], [0.000, 0.000, 0.500]],
  "energy_ev_per_atom": -6.71,
  "sg": "P4/mmm, No. 123",
  "magmom_total_mub_per_fu": 3.3,
  "raw_formation_energy_mev_per_atom": -265
}

4.
{
  "formula": "Cr2FeBr",
  "functional": "PBEsol",
  "state": "optimized geometry",
  "lattice_angstrom": [[2.880, 0.000, 0.000], [0.000, 4.261, 0.047], [0.000, -1.028, 4.136]],
  "species": ["Cr", "Cr", "Br", "Fe"],
  "fractional_positions": [[0.000, 0.000, 0.500], [0.000, 0.500, 0.000], [0.500, 0.500, 0.500], [0.500, 0.000, 0.000]],
  "energy_ev_per_atom": -6.98,
  "sg": "Cmmm, No. 65",
  "magmom_total_mub_per_fu": 5.0,
  "de_polymorph_mev_per_atom": 285,
  "raw_formation_energy_mev_per_atom": 851
}

5.
{
  "formula": "Cr2FeBr",
  "functional": "PBEsol",
  "state": "optimized geometry",
  "lattice_angstrom": [[-1.041, -2.669, -0.673], [1.582, -1.169, 2.190], [-4.854, 0.889, 3.980]],
  "species": ["Cr", "Cr", "Br", "Fe"],
  "fractional_positions": [[0.500, 0.500, 0.256], [0.000, 0.000, 0.042], [0.500, 0.500, 0.744], [0.000, 0.000, 0.458]],
  "energy_ev_per_atom": -7.26,
  "sg": "P4mm, No. 99",
  "magmom_total_mub_per_fu": 2.6,
  "de_polymorph_mev_per_atom": 0,
  "raw_formation_energy_mev_per_atom": 566
}

6.
{
  "formula": "CrFe2Br",
  "functional": "PBEsol",
  "state": "optimized geometry",
  "lattice_angstrom": [[2.877, 0.010, 0.016], [-0.216, 4.568, 0.037], [-0.216, -2.012, 4.101]],
  "species": ["Cr", "Br", "Fe", "Fe"],
  "fractional_positions": [[0.500, 0.500, 0.500], [0.500, 0.000, 0.000], [0.000, 0.500, 0.000], [0.000, 0.000, 0.500]],
  "energy_ev_per_atom": -6.69,
  "sg": "C2/m, No. 12",
  "magmom_total_mub_per_fu": 2.6,
  "raw_formation_energy_mev_per_atom": 817
}

7.
{
  "formula": "Cr2FeBr",
  "functional": "PBEsol",
  "state": "optimized geometry",
  "lattice_angstrom": [[2.910, 0.000, 0.000], [0.000, 4.171, 0.000], [-1.455, -2.085, 4.172]],
  "species": ["Cr", "Cr", "Br", "Fe"],
  "fractional_positions": [[0.990, 0.990, 0.979], [0.756, 0.256, 0.511], [0.246, 0.746, 0.492], [0.509, 0.509, 0.018]],
  "energy_ev_per_atom": -7.07,
  "sg": "Imm2, No. 44",
  "magmom_total_mub_per_fu": 1.5,
  "de_polymorph_mev_per_atom": 190,
  "raw_formation_energy_mev_per_atom": 756
}

8.
{
  "formula": "Cr2FeBr",
  "functional": "PBEsol",
  "state": "optimized geometry",
  "lattice_angstrom": [[3.167, 0.000, 0.000], [0.000, 3.167, 0.000], [0.000, 0.000, 5.708]],
  "species": ["Fe", "Cr", "Cr", "Br"],
  "fractional_positions": [[0.500, 0.500, 0.000], [0.000, 0.000, 0.829], [0.000, 0.000, 0.171], [0.500, 0.500, 0.500]],
  "energy_ev_per_atom": -7.21,
  "sg": "P4/mmm, No. 123",
  "magmom_total_mub_per_fu": 1.4,
  "de_polymorph_mev_per_atom": 49,
  "raw_formation_energy_mev_per_atom": 615
}

9.
{
  "formula": "CrGe2SBr",
  "functional": "PBEsol",
  "state": "optimized geometry",
  "lattice_angstrom": [[4.194, 0.000, 0.000], [0.000, 4.766, 0.000], [0.000, 0.000, 4.766]],
  "species": ["Ge", "Ge", "Cr", "Br", "S"],
  "fractional_positions": [[0.000, 0.500, 0.000], [0.000, 0.000, 0.500], [0.000, 0.000, 0.000], [0.500, 0.500, 0.500], [0.500, 0.000, 0.000]],
  "energy_ev_per_atom": -5.38,
  "sg": "P4/mmm, No. 123",
  "magmom_total_mub_per_fu": 0.0,
  "raw_formation_energy_mev_per_atom": -101
}

10.
{
  "formula": "CrHBr3",
  "functional": "PBEsol",
  "state": "optimized geometry",
  "lattice_angstrom": [[-2.237, 3.928, -0.826], [-3.218, -2.320, -2.318], [-2.399, -0.550, 3.880]],
  "species": ["Br", "Br", "Br", "Cr", "H"],
  "fractional_positions": [[0.000, 0.500, 0.000], [0.000, 0.000, 0.500], [0.500, 0.000, 0.000], [0.500, 0.500, 0.500], [0.000, 0.000, 0.000]],
  "energy_ev_per_atom": -3.25,
  "sg": "Pm-3m, No. 221",
  "magmom_total_mub_per_fu": 3.9
}

11.
{
  "formula": "CrHBr2",
  "functional": "PBEsol",
  "state": "optimized geometry",
  "lattice_angstrom": [[-3.736, -1.965, -3.571], [0.526, -5.036, 2.220], [-2.255, 4.609, 4.104]],
  "species": ["Br", "Br", "Br", "Br", "Cr", "Cr", "H", "H"],
  "fractional_positions": [[0.820, 0.375, 0.250], [0.125, 0.180, 0.750], [0.430, 0.875, 0.250], [0.625, 0.570, 0.750], [0.000, 0.000, 0.000], [0.250, 0.750, 0.500], [0.500, 0.500, 0.000], [0.750, 0.250, 0.500]],
  "energy_ev_per_atom": -4.07,
  "sg": "I-42d, No. 122",
  "magmom_total_mub_per_fu": 4.9
}

12.
{
  "formula": "CrHBr2",
  "functional": "PBEsol",
  "state": "optimized geometry",
  "lattice_angstrom": [[-2.995, 1.815, 3.096], [-3.995, -2.225, 0.968], [-0.586, -2.047, 4.161]],
  "species": ["Br", "Br", "Cr", "H"],
  "fractional_positions": [[0.750, 0.750, 0.750], [0.250, 0.250, 0.250], [0.500, 0.500, 0.500], [0.000, 0.000, 0.000]],
  "energy_ev_per_atom": -3.84,
  "sg": "Fm-3m, No. 225",
  "magmom_total_mub_per_fu": 5.0
}

13.
{
  "formula": "Sc2CrHBr",
  "functional": "PBEsol",
  "state": "optimized geometry",
  "lattice_angstrom": [[-2.861, -1.461, 0.466], [2.016, -4.379, -1.357], [1.240, -0.906, 4.767]],
  "species": ["Br", "H", "Sc", "Sc", "Cr"],
  "fractional_positions": [[0.500, 0.500, 0.500], [0.500, 0.000, 0.000], [0.000, 0.500, 0.000], [0.000, 0.000, 0.500], [0.000, 0.000, 0.000]],
  "energy_ev_per_atom": -5.58,
  "sg": "P4/mmm, No. 123",
  "magmom_total_mub_per_fu": 0.5
}

14.
{
  "formula": "CrHgBr2",
  "functional": "PBEsol",
  "state": "optimized geometry",
  "lattice_angstrom": [[-2.350, -2.145, -1.225], [1.996, -2.645, 0.804], [-3.389, -0.380, 7.166]],
  "species": ["Hg", "Cr", "Br", "Br"],
  "fractional_positions": [[0.500, 0.500, 0.729], [0.000, 0.000, 0.505], [0.000, 0.000, 0.945], [0.500, 0.500, 0.321]],
  "energy_ev_per_atom": -3.60,
  "sg": "P4mm, No. 99",
  "magmom_total_mub_per_fu": 4.0,
  "de_polymorph_mev_per_atom": 350,
  "raw_formation_energy_mev_per_atom": 34
}

Number 1: V 12.1 Å³/atom, theoretical density 5.1 g/cm3. Number 2: V 18.3 Å³/atom, theoretical density 4.2 g/cm3. Number 3: V 18.9 Å³/atom, theoretical density 5.9 g/cm3. Number 4: V 12.7 Å³/atom, theoretical density 7.8 g/cm3. Number 5: V 13.7 Å³/atom, theoretical density 7.2 g/cm3. Number 6: V 13.5 Å³/atom, theoretical density 7.5 g/cm3. Number 7: V 12.7 Å³/atom, theoretical density 7.9 g/cm3. Number 8: V 14.3 Å³/atom, theoretical density 7.0 g/cm3. Number 9: V 19.1 Å³/atom, theoretical density 5.4 g/cm3. Number 10: V 19.4 Å³/atom, theoretical density 5.0 g/cm3. Number 11: V 20.2 Å³/atom, theoretical density 4.4 g/cm3. Number 12: V 18.1 Å³/atom, theoretical density 4.9 g/cm3. Number 13: V 16.3 Å³/atom, theoretical density 4.5 g/cm3. Number 14: V 23.1 Å³/atom, theoretical density 7.4 g/cm3.